Compound: NaZrV2O8
Source: the Alexandria database
Functional: GGA+U
Structure: optimized geometry

The structure in CIF format:
```
data_NaZrV2O8
_cell_length_a 5.909
_cell_length_b 5.909
_cell_length_c 5.909
_cell_angle_alpha 105.94
_cell_angle_beta 105.94
_cell_angle_gamma 116.79
_symmetry_space_group_name_H-M 'P 1'
_symmetry_Int_Tables_number 1
loop_
_symmetry_equiv_pos_as_xyz
'x,y,z'
loop_
_atom_site_label
_atom_site_type_symbol
_atom_site_fract_x
_atom_site_fract_y
_atom_site_fract_z
Na1 Na 0.000 0.000 0.000
Zr1 Zr 0.250 0.750 0.500
V1 V 0.500 0.500 0.000
V2 V 0.750 0.250 0.500
O1 O 0.343 0.140 0.797
O2 O 0.343 0.545 0.203
O3 O 0.380 0.060 0.320
O4 O 0.455 0.657 0.797
O5 O 0.739 0.060 0.680
O6 O 0.860 0.657 0.203
O7 O 0.940 0.261 0.320
O8 O 0.940 0.620 0.680
```

Computed properties:
* final energy: -7.4251 eV per atom
* density: 3.642 g/cm3
* calculated volume: 13.07 Å³/atom